# BeRe2Sb

Crystalline BeRe2Sb at its relaxed geometry (GGA-PBE, the Alexandria database).

Summary:
ΔE to the lowest computed polymorph = 0.272 eV per atom
V = 15.41 A^3/atom
Fermi-level density of states = 3.3 states/eV/cell
E_form (uncorrected) = 0.448 eV per atom
Crystal system = monoclinic

Geometry as POSCAR:
```
BeRe2Sb
1.0
4.645 -0.001 0.008
3.613 2.918 0.008
1.330 0.470 4.547
Re Sb Be
2 1 1
direct
0.741 0.741 0.766
0.990 0.990 0.063
0.506 0.506 0.516
0.263 0.263 0.155
```